## Tl2TeRu (PBE)

Data for a relaxed Tl2TeRu crystal.

```
Tl2TeRu
1.0
6.517 0.000 0.000
0.000 6.517 0.000
3.259 3.259 6.659
Tl Ru Te
4 2 2
Direct
0.375 0.431 0.750 Tl
0.181 0.625 0.250 Tl
0.569 0.125 0.250 Tl
0.875 0.819 0.750 Tl
0.500 0.500 0.000 Ru
0.250 0.750 0.500 Ru
0.000 0.000 0.000 Te
0.750 0.250 0.500 Te
```

Energy relative to the elements, uncorrected, eV per atom: 0.74
SG: I-42d, No. 122
Raw total energy, eV/atom: -3.5471
Crystal system: tetragonal

=====

## TlTe2Ru (PBE)

Data for a relaxed TlTe2Ru crystal.

```
TlTe2Ru
1.0
-0.349 -3.259 -2.436
-1.681 -3.434 1.435
-7.433 0.127 -2.552
Te Tl Ru
2 1 1
Direct
0.975 0.975 0.075 Te
0.525 0.525 0.425 Te
0.750 0.750 0.750 Tl
0.250 0.250 0.250 Ru
```

Energy relative to the elements, uncorrected, eV per atom: -0.10
SG: C2/m, No. 12
Raw total energy, eV/atom: -4.5827
Crystal system: monoclinic

=====

## TlTeRu (PBE)

Data for a relaxed TlTeRu crystal.

```
TlTeRu
1.0
-2.451 -3.634 0.541
4.407 -0.279 0.063
-0.023 0.746 4.912
Tl Ru Te
1 1 1
Direct
0.333 0.667 0.666 Tl
0.000 0.000 0.168 Ru
0.667 0.333 0.166 Te
```

Energy relative to the elements, uncorrected, eV per atom: 0.45
SG: P3m1, No. 156
Raw total energy, eV/atom: -4.4788
Crystal system: trigonal